Here is crystalline ZrCuNiAs at its relaxed geometry from the Open Quantum Materials Database. Energies are from GGA-PBE.

Computed properties:
Space-group type = F-43m (216)
ΔE to the lowest computed polymorph = 0.0582 eV/atom

Cell lengths 4.4100, 4.4100, 4.4100 Å; angles 60.00, 60.00, 60.00 degrees
Last column: nearest neighbours and their distance in Å.
Sites, in units of the cell vectors:
As (0.0000, 0.0000, 0.0000)  4 Cu 2.70, 4 Ni 2.70
Cu (0.7500, 0.7500, 0.7500)  4 Zr 2.70, 4 As 2.70
Ni (0.2500, 0.2500, 0.2500)  4 Zr 2.70, 4 As 2.70
Zr (0.5000, 0.5000, 0.5000)  4 Cu 2.70, 4 Ni 2.70